# 1
An optimized crystal structure of TlAsBr4, computed with PBE.

Its space-group type is P1. Its density of states at the Fermi level is 0.00 states/eV/cell.

abc: 4.946 6.744 8.077
angles: 77.83 89.99 68.51
Fractional coordinates of all 6 atoms:
Tl: 0.000 0.000 0.000
As: 0.431 0.001 0.500
Br: 0.246 0.742 0.430
Br: 0.374 0.232 0.181
Br: 0.605 0.769 0.820
Br: 0.988 0.260 0.571


# 2
An optimized crystal structure of TlAs2Br, computed with PBE.

Its space-group type is Fm-3m. Its density of states at the Fermi level is 2.31 states/eV/cell.

abc: 5.094 5.094 5.094
angles: 60.00 60.00 60.00
Fractional coordinates of all 4 atoms:
Tl: 0.000 0.000 0.000
As: 0.250 0.250 0.250
As: 0.750 0.750 0.750
Br: 0.500 0.500 0.500


# 3
An optimized crystal structure of TlAsBr4, computed with PBE.

Its space-group type is C2/c. Its density of states at the Fermi level is 0.00 states/eV/cell.

abc: 9.467 9.467 7.337
angles: 107.23 107.23 119.58
Fractional coordinates of all 12 atoms:
Tl: 0.085 0.915 0.750
Tl: 0.915 0.085 0.250
As: 0.420 0.580 0.250
As: 0.580 0.420 0.750
Br: 0.147 0.511 0.279
Br: 0.216 0.330 0.799
Br: 0.330 0.216 0.299
Br: 0.489 0.853 0.221
Br: 0.511 0.147 0.779
Br: 0.670 0.784 0.701
Br: 0.784 0.670 0.201
Br: 0.853 0.489 0.721


# 4
An optimized crystal structure of TlAs2Br, computed with PBE.

Its space-group type is P4mm. Its density of states at the Fermi level is 1.20 states/eV/cell.

abc: 3.560 3.560 9.020
angles: 90.00 90.00 90.00
Fractional coordinates of all 4 atoms:
Tl: 0.000 0.000 0.000
As: 0.000 0.000 0.446
As: 0.500 0.500 0.344
Br: 0.500 0.500 0.798


Asked for uncorrected energy across the records above, the calculation gives -17.02 -11.37 -34.17 -13.66 eV for the cell shown in order.
Asked for uncorrected formation energy across the records above, the calculation gives -0.5525 0.4920 -0.5632 -0.0809 eV per atom in order.